Material: Tb3OsS
Method: DFT, PBE-GGA
State: optimized geometry

Cell lengths 5.0587, 5.0587, 5.0587 Å; angles 90.00, 90.00, 90.00 degrees
With the nearest neighbours (Å) after each atom.
Fractional positions:
Tb  0.0000  0.0000  0.5000  2 S 2.53
Tb  0.0000  0.5000  0.0000  2 S 2.53
Tb  0.5000  0.0000  0.0000  2 S 2.53
Os  0.5000  0.5000  0.5000  12 Tb 3.58
S  0.0000  0.0000  0.0000  6 Tb 2.53

Summary:
Space group ... No. 221
Mass density ... 8967 kg/m³
Uncorrected energy ... -5.98 eV per atom
Spin magnetization ... 0.01 μB per cell


Material: Tl3OsS4
Method: DFT, PBE-GGA
State: optimized geometry

Cell lengths 6.2986, 6.3959, 11.8398 Å; angles 96.51, 100.43, 104.44 degrees
With the nearest neighbours (Å) after each atom.
Fractional positions:
Tl  0.0000  0.0000  0.0000  5 S 3.02-3.29
Tl  0.0360  0.9700  0.4789  5 S 3.12-3.41
Tl  0.2513  0.6731  0.1993  3 S 3.02-3.21
Tl  0.3271  0.8058  0.7759  4 S 3.02-3.38
Tl  0.5282  0.4969  0.4960  4 S 3.10-3.30
Tl  0.5811  0.4824  0.9768  5 S 3.02-3.30
Os  0.7248  0.2140  0.2456  4 S 2.19-2.21
Os  0.8535  0.2659  0.7309  4 S 2.19-2.21
S  0.0048  0.4316  0.5991  1 Os 2.21
S  0.0367  0.4278  0.9093  1 Os 2.21
S  0.0718  0.1951  0.2605  1 Os 2.20
S  0.5065  0.2840  0.7173  1 Os 2.20
S  0.5437  0.0538  0.0666  1 Os 2.21
S  0.5711  0.0471  0.3766  1 Os 2.21
S  0.7239  0.5586  0.2578  1 Os 2.19
S  0.8538  0.9214  0.7190  1 Os 2.19

Summary:
Space group ... No. 1
Mass density ... 6907 kg/m³
Uncorrected energy ... -4.54 eV per atom
Spin magnetization ... 0.04 μB per cell


Material: TlOs3S5
Method: DFT, PBE-GGA
State: optimized geometry

Cell lengths 5.6803, 5.6803, 6.7956 Å; angles 90.00, 90.00, 120.00 degrees
With the nearest neighbours (Å) after each atom.
Fractional positions:
Tl  0.0000  0.0000  0.0000  14 S 3.40-3.70
Os  0.0000  0.5000  0.5000  4 S 2.34
Os  0.5000  0.0000  0.5000  4 S 2.34
Os  0.5000  0.5000  0.5000  4 S 2.34
S  0.0000  0.0000  0.5000  6 Os 2.84
S  0.3333  0.6667  0.2534  3 Os 2.34
S  0.3333  0.6667  0.7466  3 Os 2.34
S  0.6667  0.3333  0.2534  3 Os 2.34
S  0.6667  0.3333  0.7466  3 Os 2.34

Summary:
Space group ... No. 191
Mass density ... 8180 kg/m³
Uncorrected energy ... -6.20 eV per atom
Spin magnetization ... 0.01 μB per cell


Material: Zr3OsS
Method: DFT, PBE-GGA
State: optimized geometry

Cell lengths 6.4086, 6.4086, 9.4204 Å; angles 90.00, 90.00, 148.92 degrees
With the nearest neighbours (Å) after each atom.
Fractional positions:
Zr  0.0728  0.9272  0.7500  2 S 2.52, 2 Os 2.72
Zr  0.3495  0.6505  0.5715  2 S 2.62, 2 Os 2.74
Zr  0.3495  0.6505  0.9285  2 S 2.62, 2 Os 2.74
Zr  0.6505  0.3495  0.0715  2 S 2.62, 2 Os 2.74
Zr  0.6505  0.3495  0.4285  2 S 2.62, 2 Os 2.74
Zr  0.9272  0.0728  0.2500  2 S 2.52, 2 Os 2.72
Os  0.2564  0.7436  0.2500  6 Zr 2.72-2.74
Os  0.7436  0.2564  0.7500  6 Zr 2.72-2.74
S  0.0000  0.0000  0.0000  6 Zr 2.52-2.62
S  0.0000  0.0000  0.5000  6 Zr 2.52-2.62

Summary:
Space group ... No. 63
Mass density ... 8246 kg/m³
Uncorrected energy ... -9.04 eV per atom
Spin magnetization ... 0.01 μB per cell


Material: Sb2Os
Method: DFT, PBE-GGA
State: optimized geometry

Cell lengths 8.0093, 8.0093, 8.0093 Å; angles 60.00, 60.00, 60.00 degrees
With the nearest neighbours (Å) after each atom.
Fractional positions:
Sb  0.0000  0.0000  0.0000  2 Os 2.45
Sb  0.0000  0.0000  0.5000  2 Os 2.45
Sb  0.0000  0.5000  0.0000  2 Os 2.45
Sb  0.5000  0.0000  0.0000  2 Os 2.45
Os  0.1250  0.1250  0.1250  4 Sb 2.45
Os  0.8750  0.8750  0.8750  4 Sb 2.45

Summary:
Space group ... No. 227
Mass density ... 3965 kg/m³
Uncorrected energy ... -5.75 eV per atom
Spin magnetization ... 0.00 μB per cell


Material: Sb2Os
Method: DFT, PBE-GGA
State: optimized geometry

Cell lengths 5.8118, 5.8118, 5.8118 Å; angles 60.00, 60.00, 60.00 degrees
With the nearest neighbours (Å) after each atom.
Fractional positions:
Sb  0.0000  0.0000  0.0000  6 Sb 2.91
Sb  0.0000  0.0000  0.5000  6 Sb 2.91
Sb  0.0000  0.5000  0.0000  6 Sb 2.91
Sb  0.5000  0.0000  0.0000  6 Sb 2.91
Os  0.3750  0.3750  0.3750  12 Sb 3.41, 4 Os 3.56
Os  0.6250  0.6250  0.6250  12 Sb 3.41, 4 Os 3.56

Summary:
Space group ... No. 227
Mass density ... 10378 kg/m³
Uncorrected energy ... -4.69 eV per atom
Spin magnetization ... 1.49 μB per cell